Record 1
## PrTaOs2 (PBE)

Data for a relaxed structure of PrTaOs2.

Lattice parameters (Å, degrees): 3.2210 3.2210 7.3419 90.00 90.00 90.00
Closest atoms and distances in Å follow each position.
Positions (direct):
1 Pr 0.5000 0.5000 0.5000  8 Os 3.14, 4 Pr 3.22
2 Os 0.0000 0.0000 0.7953  4 Ta 2.73, 1 Os 3.01
3 Os 0.0000 0.0000 0.2047  4 Ta 2.73, 1 Os 3.01
4 Ta 0.5000 0.5000 0.0000  8 Os 2.73

SG = P4/mmm
magnetization = 0.00 μB per formula unit
energy = -39.41 eV for the cell shown
formation energy from the elements = -0.08 eV/atom

=====

Record 2
## GaTc2NiN (PBE)

Data for a relaxed structure of GaTc2NiN.

Lattice parameters (Å, degrees): 4.0834 4.0834 3.7307 90.00 90.00 90.00
Closest atoms and distances in Å follow each position.
Positions (direct):
1 Ni 0.0000 0.0000 0.5000  2 N 1.87
2 Tc 0.0000 0.5000 0.0000  2 N 2.04
3 Tc 0.5000 0.0000 0.0000  2 N 2.04
4 Ga 0.5000 0.5000 0.5000  8 Tc 2.77, 4 Ni 2.89
5 N 0.0000 0.0000 0.0000  2 Ni 1.87, 4 Tc 2.04

SG = P4/mmm
magnetization = 0.16 μB per formula unit
energy = -38.05 eV for the cell shown
uncorrected formation energy = -0.0370 eV/atom

=====

Record 3
## MgGeSbTe2 (PBE)

Data for a relaxed structure of MgGeSbTe2.

Lattice parameters (Å, degrees): 5.4463 5.4463 5.3124 90.00 90.00 90.00
Closest atoms and distances in Å follow each position.
Positions (direct):
1 Sb 0.0000 0.0000 0.5000  2 Mg 2.66
2 Ge 0.5000 0.5000 0.5000  8 Te 3.80, 4 Sb 3.85
3 Te 0.0000 0.5000 0.0000  2 Mg 2.72
4 Te 0.5000 0.0000 0.0000  2 Mg 2.72
5 Mg 0.0000 0.0000 0.0000  2 Sb 2.66, 4 Te 2.72

SG = P4/mmm
magnetization = 0.00 μB per formula unit
energy = -14.16 eV for the cell shown
offset from the most stable computed form = 0.50 eV per formula unit
uncorrected formation energy = 0.4925 eV/atom